# 1
A relaxed structure of Sc2CrRe, computed with PBE.

a = 2.9869 Å, b = 2.9869 Å, c = 27.1058 Å
α = 90.00°, β = 90.00°, γ = 120.00°
Space group R-3m (No. 166, hexagonal axes)
Inequivalent atoms, fractional coordinates:
Sc: 0.0000 0.0000 0.2503 x6
Cr: 0.0000 0.0000 0.0000 x3
Re: 0.0000 0.0000 0.5000 x3

As for the size of the total moment: 5.04 Bohr magnetons per cell. The value obtained for the energy relative to the elements is 0.419 eV/atom. The energy above the most stable polymorph in this dataset is 1.745 eV per formula unit. The density comes out at 7.80 g/cm3.

***

# 2
A relaxed structure of DyEr8Tm6, computed with PBE.

a = 9.2545 Å, b = 9.2545 Å, c = 6.4168 Å
α = 90.00°, β = 90.00°, γ = 120.00°
Space group P-3 (No. 147)
Inequivalent atoms, fractional coordinates:
Dy: 0.0000 0.0000 0.0000 x1
Er: 0.0246 0.3370 0.5972 x6
Er: 0.3333 0.6667 0.3294 x2
Tm: 0.0950 0.6805 0.9083 x6

As for the size of the total moment: 0.00 Bohr magnetons per cell. The value obtained for the energy relative to the elements is 0.245 eV/atom. The energy above the most stable polymorph in this dataset is 1.652 eV per formula unit. The density comes out at 8.77 g/cm3.

***

# 3
A relaxed structure of NpTaTcRu, computed with PBE.

a = 6.542 Å, b = 6.542 Å, c = 6.542 Å
α = 90.00°, β = 90.00°, γ = 90.00°
Space group F-43m (No. 216)
Inequivalent atoms, fractional coordinates:
Np: 0.000 0.000 0.000 x4
Ta: 0.000 0.000 0.500 x4
Tc: 0.250 0.250 0.250 x4
Ru: 0.250 0.250 0.750 x4

As for the size of the total moment: 12.68 Bohr magnetons per cell. The value obtained for the energy relative to the elements is -0.080 eV/atom. The density comes out at 14.64 g/cm3.

***

# 4
A relaxed structure of Pr7HgAu4, computed with PBE.

a = 14.661 Å, b = 5.785 Å, c = 9.765 Å
α = 90.00°, β = 123.31°, γ = 90.00°
Space group C2/m (No. 12)
Inequivalent atoms, fractional coordinates:
Pr: 0.000 0.000 0.000 x2
Pr: 0.066 0.500 0.391 x4
Pr: 0.198 0.500 0.906 x4
Pr: 0.219 0.000 0.678 x4
Hg: 0.000 0.500 0.000 x2
Au: 0.036 0.000 0.718 x4
Au: 0.193 0.000 0.347 x4

As for the size of the total moment: 0.00 Bohr magnetons per cell. The value obtained for the energy relative to the elements is -0.425 eV/atom. The density comes out at 9.48 g/cm3.

***

# 5
A relaxed structure of In2Ga2Ag5, computed with PBE.

a = 4.898 Å, b = 5.018 Å, c = 7.676 Å
α = 94.77°, β = 108.48°, γ = 90.19°
Space group P-1 (No. 2)
Inequivalent atoms, fractional coordinates:
In: 0.077 0.304 0.156 x2
Ga: 0.296 0.411 0.590 x2
Ag: 0.199 0.863 0.399 x2
Ag: 0.400 0.982 0.798 x2
Ag: 0.500 0.500 0.000 x1

As for the size of the total moment: 0.00 Bohr magnetons per cell. The value obtained for the energy relative to the elements is 0.000 eV/atom. The energy above the most stable polymorph in this dataset is 0.000 eV per formula unit. The density comes out at 8.46 g/cm3.

***

# 6
A relaxed structure of SmDy4In2, computed with PBE.

a = 8.355 Å, b = 6.594 Å, c = 8.483 Å
α = 90.00°, β = 118.05°, γ = 90.00°
Space group P2_1/m (No. 11)
Inequivalent atoms, fractional coordinates:
Sm: 0.247 0.250 0.174 x2
Dy: 0.066 0.004 0.731 x4
Dy: 0.395 0.250 0.611 x2
Dy: 0.460 0.750 0.962 x2
In: 0.173 0.750 0.111 x2
In: 0.305 0.750 0.536 x2

As for the size of the total moment: 0.00 Bohr magnetons per cell. The value obtained for the energy relative to the elements is -0.171 eV/atom. The energy above the most stable polymorph in this dataset is 0.000 eV per formula unit. The density comes out at 8.29 g/cm3.

***

# 7
A relaxed structure of YTaCr2, computed with PBE.

a = 9.379 Å, b = 3.244 Å, c = 5.393 Å
α = 90.00°, β = 109.10°, γ = 90.00°
Space group C2/m (No. 12)
Inequivalent atoms, fractional coordinates:
Y: 0.000 0.000 0.000 x2
Ta: 0.000 0.500 0.500 x2
Cr: 0.228 0.000 0.631 x4

As for the size of the total moment: 0.00 Bohr magnetons per cell. The value obtained for the energy relative to the elements is 0.519 eV/atom. The energy above the most stable polymorph in this dataset is 0.856 eV per formula unit. The density comes out at 8.01 g/cm3.

***

# 8
A relaxed structure of Mg2NiGeH, computed with PBE.

a = 4.595 Å, b = 4.595 Å, c = 3.258 Å
α = 90.00°, β = 90.00°, γ = 90.00°
Space group P4/mmm (No. 123)
Inequivalent atoms, fractional coordinates:
Mg: 0.000 0.500 0.000 x2
Ni: 0.000 0.000 0.500 x1
Ge: 0.500 0.500 0.500 x1
H: 0.000 0.000 0.000 x1

As for the size of the total moment: 0.00 Bohr magnetons per cell. The value obtained for the final energy is -3.547 eV per atom. The density comes out at 4.37 g/cm3.

***

# 9
A relaxed structure of ZrIn2Ir, computed with PBE.

a = 6.811 Å, b = 6.811 Å, c = 6.811 Å
α = 90.00°, β = 90.00°, γ = 90.00°
Space group F-43m (No. 216)
Inequivalent atoms, fractional coordinates:
Zr: 0.000 0.000 0.000 x4
In: 0.000 0.000 0.500 x4
In: 0.250 0.250 0.250 x4
Ir: 0.250 0.250 0.750 x4

As for the size of the total moment: 0.00 Bohr magnetons per cell. The value obtained for the energy relative to the elements is -0.191 eV/atom. The density comes out at 10.79 g/cm3.

***

# 10
A relaxed structure of LiHgPt2, computed with PBE.

a = 3.858 Å, b = 3.858 Å, c = 18.996 Å
α = 90.00°, β = 90.00°, γ = 90.00°
Space group I-42d (No. 122)
Inequivalent atoms, fractional coordinates:
Li: 0.000 0.000 0.000 x4
Hg: 0.000 0.000 0.500 x4
Pt: 0.239 0.250 0.125 x8

As for the size of the total moment: 0.00 Bohr magnetons per cell. The value obtained for the energy relative to the elements is -0.101 eV/atom. The density comes out at 14.04 g/cm3.

***

# 11
A relaxed structure of InGaTc, computed with PBE.

a = 7.948 Å, b = 4.509 Å, c = 7.313 Å
α = 90.00°, β = 118.09°, γ = 90.00°
Space group C2/m (No. 12)
Inequivalent atoms, fractional coordinates:
In: 0.227 0.000 0.131 x4
Ga: 0.153 0.500 0.365 x4
Tc: 0.021 0.000 0.670 x4

As for the size of the total moment: 0.00 Bohr magnetons per cell. The value obtained for the energy relative to the elements is 0.144 eV/atom. The density comes out at 8.12 g/cm3.

***

# 12
A relaxed structure of Hg3S2Cl2, computed with PBE.

a = 9.182 Å, b = 9.182 Å, c = 9.182 Å
α = 90.00°, β = 90.00°, γ = 90.00°
Space group I2_13 (No. 199)
Inequivalent atoms, fractional coordinates:
Hg: 0.000 0.250 0.304 x12
S: 0.237 0.263 0.737 x8
Cl: 0.006 0.006 0.006 x8

As for the size of the total moment: 0.00 Bohr magnetons per cell. Its raw formation energy is -0.388 eV/atom. The energy above the most stable polymorph in this dataset is 0.000 eV per formula unit. The density comes out at 6.32 g/cm3.

***

# 13
A relaxed structure of La2SmEr6, computed with PBE.

a = 10.711 Å, b = 10.711 Å, c = 5.088 Å
α = 90.00°, β = 90.00°, γ = 90.00°
Space group P4_2/mnm (No. 136)
Inequivalent atoms, fractional coordinates:
La: 0.167 0.167 0.000 x4
Sm: 0.000 0.000 0.500 x2
Er: 0.002 0.336 0.500 x8
Er: 0.167 0.833 0.000 x4

As for the size of the total moment: 0.00 Bohr magnetons per cell. The value obtained for the energy relative to the elements is 0.037 eV/atom. The energy above the most stable polymorph in this dataset is 0.000 eV per formula unit. The density comes out at 8.15 g/cm3.

***

# 14
A relaxed structure of Sn4P3, computed with PBE.

a = 4.0156 Å, b = 4.0156 Å, c = 35.4617 Å
α = 90.00°, β = 90.00°, γ = 120.00°
Space group R-3m (No. 166, hexagonal axes)
Inequivalent atoms, fractional coordinates:
Sn: 0.0000 0.0000 0.1332 x6
Sn: 0.0000 0.0000 0.2897 x6
P: 0.0000 0.0000 0.0000 x3
P: 0.0000 0.0000 0.4286 x6

As for the size of the total moment: 0.00 Bohr magnetons per cell. The value obtained for the energy relative to the elements is -0.047 eV/atom. The density comes out at 5.71 g/cm3.

***

# 15
A relaxed structure of Be2Ru, computed with PBE.

a = 2.6347 Å, b = 2.6347 Å, c = 5.5739 Å
α = 90.00°, β = 90.00°, γ = 120.00°
Space group P-3m1 (No. 164)
Inequivalent atoms, fractional coordinates:
Be: 0.3333 0.6667 0.1673 x2
Ru: 0.0000 0.0000 0.5000 x1

As for the size of the total moment: 0.00 Bohr magnetons per cell. The value obtained for the energy relative to the elements is 0.152 eV/atom. The energy above the most stable polymorph in this dataset is 1.502 eV per formula unit. The density comes out at 5.90 g/cm3.

***

# 16
A relaxed structure of KBi4Pt2, computed with PBE.

a = 20.552 Å, b = 4.657 Å, c = 7.877 Å
α = 90.00°, β = 90.00°, γ = 90.00°
Space group Pnma (No. 62)
Inequivalent atoms, fractional coordinates:
K: 0.143 0.250 0.009 x4
Bi: 0.030 0.750 0.868 x4
Bi: 0.068 0.250 0.482 x4
Bi: 0.183 0.750 0.306 x4
Bi: 0.195 0.750 0.722 x4
Pt: 0.036 0.750 0.260 x4
Pt: 0.214 0.250 0.516 x4

As for the size of the total moment: 0.00 Bohr magnetons per cell. The value obtained for the energy relative to the elements is -0.283 eV/atom. The energy above the most stable polymorph in this dataset is 0.000 eV per formula unit. The density comes out at 11.15 g/cm3.

***

# 17
A relaxed structure of Ce3CoAu, computed with PBE.

a = 3.479 Å, b = 7.439 Å, c = 9.015 Å
α = 96.16°, β = 101.00°, γ = 90.09°
Space group P-1 (No. 2)
Inequivalent atoms, fractional coordinates:
Ce: 0.030 0.270 0.060 x2
Ce: 0.166 0.939 0.337 x2
Ce: 0.277 0.678 0.556 x2
Co: 0.432 0.959 0.863 x2
Au: 0.392 0.394 0.780 x2

As for the size of the total moment: 0.35 Bohr magnetons per cell. The value obtained for the energy relative to the elements is -0.290 eV/atom. The density comes out at 9.87 g/cm3.

***

# 18
A relaxed structure of CaRe2Ni, computed with PBE.

a = 8.802 Å, b = 2.890 Å, c = 5.703 Å
α = 90.00°, β = 99.07°, γ = 90.00°
Space group Cm (No. 8)
Inequivalent atoms, fractional coordinates:
Ca: 0.000 0.000 0.000 x2
Re: 0.226 0.000 0.634 x2
Re: 0.486 0.000 0.498 x2
Ni: 0.261 0.500 0.281 x2

As for the size of the total moment: 0.00 Bohr magnetons per cell. The value obtained for the energy relative to the elements is 0.444 eV/atom. The energy above the most stable polymorph in this dataset is 0.710 eV per formula unit. The density comes out at 10.92 g/cm3.

***

# 19
A relaxed structure of Ca2InCl, computed with PBE.

a = 3.603 Å, b = 3.603 Å, c = 10.654 Å
α = 90.00°, β = 90.00°, γ = 90.00°
Space group P4mm (No. 99)
Inequivalent atoms, fractional coordinates:
Ca: 0.000 0.000 0.000 x1
Ca: 0.500 0.500 0.297 x1
In: 0.500 0.500 0.805 x1
Cl: 0.000 0.000 0.420 x1

As for the size of the total moment: 0.00 Bohr magnetons per cell. Its raw formation energy is -0.768 eV/atom. The energy above the most stable polymorph in this dataset is 1.240 eV per formula unit. The density comes out at 2.77 g/cm3.

***

# 20
A relaxed structure of TmLuCrOs, computed with PBE.

a = 6.810 Å, b = 6.810 Å, c = 6.810 Å
α = 90.00°, β = 90.00°, γ = 90.00°
Space group F-43m (No. 216)
Inequivalent atoms, fractional coordinates:
Tm: 0.000 0.000 0.000 x4
Lu: 0.000 0.000 0.500 x4
Cr: 0.250 0.250 0.250 x4
Os: 0.250 0.250 0.750 x4

As for the size of the total moment: 14.46 Bohr magnetons per cell. The value obtained for the energy relative to the elements is -0.039 eV/atom. The density comes out at 12.32 g/cm3.

***

# 21
A relaxed structure of TbTaRe4, computed with PBE.

a = 7.513 Å, b = 7.513 Å, c = 7.513 Å
α = 90.00°, β = 90.00°, γ = 90.00°
Space group F-43m (No. 216)
Inequivalent atoms, fractional coordinates:
Tb: 0.000 0.000 0.000 x4
Ta: 0.250 0.250 0.250 x4
Re: 0.125 0.125 0.625 x16

As for the size of the total moment: 0.00 Bohr magnetons per cell. The value obtained for the energy relative to the elements is -0.048 eV/atom. The density comes out at 16.99 g/cm3.

***

# 22
A relaxed structure of Cs2PuZnBr6, computed with PBE.

a = 8.0255 Å, b = 8.0255 Å, c = 6.6776 Å
α = 90.00°, β = 90.00°, γ = 120.00°
Space group P-3m1 (No. 164)
Inequivalent atoms, fractional coordinates:
Cs: 0.3333 0.6667 0.2608 x2
Pu: 0.0000 0.0000 0.0000 x1
Zn: 0.0000 0.0000 0.5000 x1
Br: 0.1676 0.3351 0.7350 x6

As for the size of the total moment: 5.65 Bohr magnetons per cell. Its raw formation energy is -1.399 eV/atom. The density comes out at 4.70 g/cm3.

***

# 23
A relaxed structure of IrPtAu2, computed with PBE.

a = 9.398 Å, b = 2.830 Å, c = 5.061 Å
α = 90.00°, β = 100.17°, γ = 90.00°
Space group Cm (No. 8)
Inequivalent atoms, fractional coordinates:
Ir: 0.000 0.000 0.000 x2
Pt: 0.260 0.000 0.797 x2
Au: 0.004 0.500 0.514 x2
Au: 0.248 0.500 0.279 x2

As for the size of the total moment: 0.00 Bohr magnetons per cell. The value obtained for the energy relative to the elements is 0.261 eV/atom. The energy above the most stable polymorph in this dataset is 0.382 eV per formula unit. The density comes out at 19.58 g/cm3.

***

# 24
A relaxed structure of MnPd3C, computed with PBE.

a = 4.620 Å, b = 4.620 Å, c = 4.620 Å
α = 90.00°, β = 90.00°, γ = 90.00°
Space group Pm-3m (No. 221)
Inequivalent atoms, fractional coordinates:
Mn: 0.000 0.000 0.000 x1
Pd: 0.000 0.000 0.500 x3
C: 0.500 0.500 0.500 x1

As for the size of the total moment: 4.56 Bohr magnetons per cell. The value obtained for the energy relative to the elements is 2.071 eV/atom. The energy above the most stable polymorph in this dataset is 9.334 eV per formula unit. The density comes out at 6.51 g/cm3.